CuHgSBr: PBEsol geometry, meta-GGA SCAN.

## Properties
ΔE_f (raw) = -318.6 meV/atom
Energy = -1.0448 Ha/atom

Lattice parameters (Å, degrees): 4.022 9.415 9.866 90.00 90.00 90.00
Atoms (fractional coordinates):
1 Cu 0.000 0.213 0.084
2 Cu 0.000 0.213 0.416
3 Cu 0.000 0.787 0.584
4 Cu 0.000 0.787 0.916
5 Hg 0.500 0.785 0.250
6 Hg 0.500 0.215 0.750
7 Hg 0.500 0.500 0.500
8 Hg 0.500 0.500 0.000
9 S 0.500 0.245 0.993
10 S 0.500 0.245 0.507
11 S 0.500 0.755 0.007
12 S 0.500 0.755 0.493
13 Br 0.000 0.561 0.750
14 Br 0.000 0.439 0.250
15 Br 0.000 0.977 0.750
16 Br 0.000 0.023 0.250

=====

SiTc2W: PBEsol geometry, meta-GGA SCAN.

## Properties
DOS at the Fermi energy = 1.8 states/eV/cell
ΔE_f (raw) = -252.6 meV/atom
Energy = -1.3858 Ha/atom

Lattice parameters (Å, degrees): 3.064 4.169 5.033 114.47 107.72 90.00
Atoms (fractional coordinates):
1 Si 0.254 0.254 0.507
2 Tc 0.991 0.491 0.981
3 Tc 0.750 0.750 0.501
4 W 0.505 0.005 0.011

=====

Cr2RuBr: PBEsol geometry, meta-GGA SCAN.

## Properties
DOS at the Fermi energy = 2.5 states/eV/cell
ΔE_f (raw) = 495.1 meV/atom
Energy = -0.8184 Ha/atom

Lattice parameters (Å, degrees): 2.952 4.326 4.462 90.00 90.02 90.00
Site moments in Bohr magnetons follow the coordinates.
Atoms (fractional coordinates):
1 Br 0.374 0.500 0.224  0.03
2 Cr 0.875 0.000 0.008  3.19
3 Cr 0.876 0.500 0.725  -3.13
4 Ru 0.375 0.000 0.543  0.27

=====

So what do the calculations give for ρ? Going down the list: 6686 12284 8303 kg/m3.